Material: BaLi2BiPd
Method: DFT, GGA-PBE
State: relaxed

Computed properties:
Total energy in eV per atom: -3.380
ΔE_f in meV per atom: -415.5
Size of the total moment in μB per cell: 0.56
Crystal system: tetragonal
ρ in g cm⁻³: 5.5
DOS(E_F) in states/eV per cell: 2.20

abc: 5.1174 5.1174 5.3449
angles: 90.00 90.00 90.00
Space group P4/mmm (No. 123)
One atom of each set of equivalent atoms:
Ba  0.0000  0.0000  0.0000
Li  0.0000  0.5000  0.5000
Bi  0.5000  0.5000  0.0000
Pd  0.5000  0.5000  0.5000